# 1
Density functional theory data (SCAN) for BeSb2W at its PBEsol-relaxed geometry.

space-group type	P4/mmm (123)
energy	-145.72	eV per formula unit
volume	17.9	Å³ per atom

Cell: 3.442 3.442 6.045 Å, 90.00 90.00 90.00°
Fractional positions:
Be 0.000 0.000 0.000
Sb 0.500 0.500 0.251
Sb 0.500 0.500 0.749
W 0.000 0.000 0.500

=====

# 2
Density functional theory data (SCAN) for V2InC at its PBEsol-relaxed geometry.

space-group type	P6_3/mmc (194)
formation energy	-0.42	eV per atom
energy	-80.16	eV per formula unit
volume	13.0	Å³ per atom

Cell: 2.986 2.986 13.446 Å, 90.00 90.00 120.00°
Fractional positions:
V 0.333 0.667 0.078
V 0.333 0.667 0.422
V 0.667 0.333 0.578
V 0.667 0.333 0.922
In 0.333 0.667 0.750
In 0.667 0.333 0.250
C 0.000 0.000 0.000
C 0.000 0.000 0.500

=====

# 3
Density functional theory data (SCAN) for CsTmMo2O8 at its PBEsol-relaxed geometry.

space-group type	C2/c (15)
energy	-240.66	eV per formula unit
volume	13.2	Å³ per atom

Cell: 7.417 7.417 7.590 Å, 117.75 117.75 88.67°
Fractional positions:
Cs 0.195 0.805 0.750
Cs 0.805 0.195 0.250
Tm 0.230 0.770 0.250
Tm 0.770 0.230 0.750
Mo 0.303 0.307 0.268
Mo 0.307 0.303 0.768
Mo 0.693 0.697 0.232
Mo 0.697 0.693 0.732
O 0.051 0.214 0.704
O 0.066 0.380 0.124
O 0.214 0.051 0.204
O 0.243 0.384 0.567
O 0.369 0.586 0.034
O 0.380 0.066 0.624
O 0.384 0.243 0.067
O 0.414 0.631 0.466
O 0.586 0.369 0.534
O 0.616 0.757 0.933
O 0.620 0.934 0.376
O 0.631 0.414 0.966
O 0.757 0.616 0.433
O 0.786 0.949 0.796
O 0.934 0.620 0.876
O 0.949 0.786 0.296

=====

# 4
Density functional theory data (SCAN) for CrSbPb2 at its PBEsol-relaxed geometry.

space-group type	Immm (71)
energy	-206.69	eV per formula unit
volume	25.7	Å³ per atom

Cell: 3.406 4.167 14.492 Å, 90.00 90.00 90.00°
Fractional positions:
Cr 0.000 0.000 0.000
Cr 0.500 0.500 0.500
Sb 0.000 0.000 0.500
Sb 0.500 0.500 0.000
Pb 0.000 0.500 0.323
Pb 0.000 0.500 0.677
Pb 0.500 0.000 0.177
Pb 0.500 0.000 0.823

=====

# 5
Density functional theory data (SCAN) for LaTaMo2 at its PBEsol-relaxed geometry.

relative energy among the computed polymorphs	312	meV/atom
space-group type	Pmmm (47)
formation energy	0.69	eV per atom
energy	-176.70	eV per formula unit
volume	18.3	Å³ per atom

Cell: 3.221 4.497 5.062 Å, 90.00 90.00 90.00°
Fractional positions:
La 0.000 0.000 0.000
Ta 0.500 0.000 0.500
Mo 0.000 0.500 0.500
Mo 0.500 0.500 0.000

=====

# 6
Density functional theory data (SCAN) for Li4NbFeW2O12 at its PBEsol-relaxed geometry.

space-group type	P1 (1)
energy	-321.77	eV per formula unit
volume	10.2	Å³ per atom

Cell: 5.089 5.412 7.459 Å, 85.18 89.89 89.93°
Fractional positions:
Li 0.000 0.000 0.000
Li 0.005 0.994 0.535
Li 0.495 0.459 0.991
Li 0.502 0.470 0.537
Nb 0.500 0.923 0.240
Fe 0.001 0.421 0.733
W 0.005 0.423 0.226
W 0.495 0.904 0.738
O 0.117 0.372 0.983
O 0.174 0.078 0.281
O 0.209 0.700 0.653
O 0.306 0.185 0.657
O 0.319 0.570 0.281
O 0.373 0.878 0.974
O 0.632 0.887 0.475
O 0.678 0.584 0.772
O 0.692 0.209 0.152
O 0.804 0.073 0.775
O 0.817 0.704 0.151
O 0.876 0.382 0.457